# KMn

A relaxed structure of KMn (GGA-PBEsol, Alexandria via LeMat-Bulk).

CIF file:
```
data_KMn
_chemical_formula_sum 'K4 Mn4'
_space_group_name_H-M_alt 'C m c m'
_space_group_IT_number 63
_space_group_name_Hall '-C 2c 2'
_cell_length_a 3.2886
_cell_length_b 20.0844
_cell_length_c 3.9212
_cell_angle_alpha 90.00
_cell_angle_beta 90.00
_cell_angle_gamma 90.00
loop_
_atom_site_label
_atom_site_type_symbol
_atom_site_fract_x
_atom_site_fract_y
_atom_site_fract_z
K1 K 0.0000 0.1027 0.2500
Mn1 Mn 0.0000 0.2641 0.2500
```

Energy of formation from the pure elements ... 983 meV per atom
Final energy ... -4.4639 eV/atom
Distance to the lowest polymorph of the same formula ... 0.000 eV per atom

***

# HfBiF2

A relaxed structure of HfBiF2 (GGA-PBEsol, Alexandria via LeMat-Bulk).

CIF file:
```
data_HfBiF2
_chemical_formula_sum 'Hf3 Bi3 F6'
_space_group_name_H-M_alt 'R -3 m'
_space_group_IT_number 166
_space_group_name_Hall '-R 3 2"'
_cell_length_a 3.2355
_cell_length_b 3.2355
_cell_length_c 28.6399
_cell_angle_alpha 90.00
_cell_angle_beta 90.00
_cell_angle_gamma 120.00
loop_
_atom_site_label
_atom_site_type_symbol
_atom_site_fract_x
_atom_site_fract_y
_atom_site_fract_z
Hf1 Hf 0.0000 0.0000 0.0000
Bi1 Bi 0.0000 0.0000 0.5000
F1 F 0.0000 0.0000 0.0673
```

Final energy ... -6.3875 eV/atom
ΔE_f (raw) ... -6.907 eV per formula unit

***

# TaSe

A relaxed structure of TaSe (GGA-PBEsol, Alexandria via LeMat-Bulk).

CIF file:
```
data_TaSe
_chemical_formula_sum 'Ta3 Se3'
_space_group_name_H-M_alt 'R -3 m'
_space_group_IT_number 166
_space_group_name_Hall '-R 3 2"'
_cell_length_a 3.1470
_cell_length_b 3.1470
_cell_length_c 11.9456
_cell_angle_alpha 90.00
_cell_angle_beta 90.00
_cell_angle_gamma 120.00
loop_
_atom_site_label
_atom_site_type_symbol
_atom_site_fract_x
_atom_site_fract_y
_atom_site_fract_z
Ta1 Ta 0.0000 0.0000 0.0000
Se1 Se 0.0000 0.0000 0.5000
```

Final energy ... -8.3955 eV/atom
ΔE_f (raw) ... -0.390 eV per formula unit